VASP calculation (PBE) on a relaxed Pm2SmErTh crystal.

The structure in CIF format:
```
data_Pm2SmErTh
_symmetry_space_group_name_H-M 'P 1'
_symmetry_Int_Tables_number 1
_symmetry_space_group_name_Hall 'P 1'
_cell_length_a 6.408
_cell_length_b 8.609
_cell_length_c 6.381
_cell_angle_alpha 96.78
_cell_angle_beta 90.00
_cell_angle_gamma 90.00
loop_
_atom_site_label
_atom_site_fract_x
_atom_site_fract_y
_atom_site_fract_z
Sm1 0.000 0.000 0.000
Pm1 0.696 0.314 0.712
Pm2 0.696 0.686 0.788
Er1 0.823 0.500 0.250
Sm2 0.000 0.000 0.500
Er2 0.177 0.500 0.750
Pm3 0.304 0.314 0.212
Pm4 0.304 0.686 0.288
Th1 0.549 0.000 0.250
Th2 0.451 0.000 0.750
```

Output
Fermi-level density of states: 6.4 states/eV/f.u.
Crystal system: monoclinic
Density: 7.98 g/cm3



VASP calculation (PBE) on a relaxed PmSmEr3Th crystal.

The structure in CIF format:
```
data_PmSmEr3Th
_symmetry_space_group_name_H-M 'P 1'
_symmetry_Int_Tables_number 1
_symmetry_space_group_name_Hall 'P 1'
_cell_length_a 5.610
_cell_length_b 10.237
_cell_length_c 7.027
_cell_angle_alpha 89.83
_cell_angle_beta 90.00
_cell_angle_gamma 105.90
loop_
_atom_site_label
_atom_site_fract_x
_atom_site_fract_y
_atom_site_fract_z
Er1 0.523 0.047 0.748
Er2 0.158 0.317 0.747
Er3 0.477 0.953 0.252
Pm1 0.353 0.706 0.961
Pm2 0.647 0.294 0.039
Er4 0.221 0.443 0.248
Sm1 0.648 0.297 0.461
Th1 0.054 0.109 0.256
Th2 0.946 0.891 0.744
Sm2 0.352 0.703 0.539
Er5 0.779 0.557 0.752
Er6 0.842 0.683 0.253
```

Output
Fermi-level density of states: 8.5 states/eV/f.u.
Crystal system: monoclinic
Density: 8.81 g/cm3



VASP calculation (PBE) on a relaxed Pm3Sm6Er2Th crystal.

The structure in CIF format:
```
data_Pm3Sm6Er2Th
_symmetry_space_group_name_H-M 'P 1'
_symmetry_Int_Tables_number 1
_symmetry_space_group_name_Hall 'P 1'
_cell_length_a 6.243
_cell_length_b 6.243
_cell_length_c 12.008
_cell_angle_alpha 94.97
_cell_angle_beta 94.97
_cell_angle_gamma 119.90
loop_
_atom_site_label
_atom_site_fract_x
_atom_site_fract_y
_atom_site_fract_z
Pm1 0.833 0.167 0.500
Sm1 0.753 0.753 0.246
Sm2 0.587 0.917 0.754
Sm3 0.247 0.247 0.754
Pm2 0.500 0.500 0.500
Sm4 0.083 0.413 0.246
Er1 0.667 0.333 0.000
Pm3 0.167 0.833 0.500
Sm5 0.917 0.587 0.754
Er2 0.333 0.667 0.000
Sm6 0.413 0.083 0.246
Th1 0.000 0.000 0.000
```

Output
Fermi-level density of states: 16.6 states/eV/f.u.
Crystal system: monoclinic
Density: 7.91 g/cm3



VASP calculation (PBE) on a relaxed Pm4SmEr2Th crystal.

The structure in CIF format:
```
data_Pm4SmEr2Th
_symmetry_space_group_name_H-M 'P 1'
_symmetry_Int_Tables_number 1
_symmetry_space_group_name_Hall 'P 1'
_cell_length_a 5.090
_cell_length_b 5.082
_cell_length_c 11.429
_cell_angle_alpha 63.57
_cell_angle_beta 90.00
_cell_angle_gamma 90.00
loop_
_atom_site_label
_atom_site_fract_x
_atom_site_fract_y
_atom_site_fract_z
Pm1 0.000 0.752 0.748
Pm2 0.500 0.254 0.747
Th1 0.000 0.500 0.500
Pm3 0.500 0.746 0.253
Er1 0.000 0.000 0.000
Sm1 0.500 0.500 0.000
Pm4 0.000 0.248 0.252
Er2 0.500 0.000 0.500
```

Output
Fermi-level density of states: 11.6 states/eV/f.u.
Crystal system: orthorhombic
Density: 8.13 g/cm3



VASP calculation (PBE) on a relaxed Pm2Sm5ErTh crystal.

The structure in CIF format:
```
data_Pm2Sm5ErTh
_symmetry_space_group_name_H-M 'P 1'
_symmetry_Int_Tables_number 1
_symmetry_space_group_name_Hall 'P 1'
_cell_length_a 5.674
_cell_length_b 10.661
_cell_length_c 10.549
_cell_angle_alpha 90.00
_cell_angle_beta 90.00
_cell_angle_gamma 105.43
loop_
_atom_site_label
_atom_site_fract_x
_atom_site_fract_y
_atom_site_fract_z
Sm1 0.015 0.029 0.018
Sm2 0.615 0.229 0.525
Sm3 0.295 0.591 0.705
Sm4 0.482 0.963 0.744
Er1 0.595 0.189 0.958
Er2 0.405 0.811 0.458
Sm5 0.275 0.550 0.315
Pm1 0.885 0.771 0.233
Pm2 0.115 0.229 0.733
Pm3 0.115 0.229 0.314
Th1 0.198 0.396 0.013
Sm6 0.725 0.450 0.815
Pm4 0.885 0.771 0.814
Sm7 0.705 0.409 0.205
Sm8 0.385 0.771 0.025
Sm9 0.518 0.037 0.244
Sm10 0.985 0.971 0.518
Th2 0.802 0.604 0.513
```

Output
Fermi-level density of states: 13.7 states/eV/f.u.
Crystal system: orthorhombic
Density: 7.78 g/cm3



VASP calculation (PBE) on a relaxed Pm6Sm3ErTh2 crystal.

The structure in CIF format:
```
data_Pm6Sm3ErTh2
_symmetry_space_group_name_H-M 'P 1'
_symmetry_Int_Tables_number 1
_symmetry_space_group_name_Hall 'P 1'
_cell_length_a 6.259
_cell_length_b 6.259
_cell_length_c 12.052
_cell_angle_alpha 94.98
_cell_angle_beta 94.98
_cell_angle_gamma 119.91
loop_
_atom_site_label
_atom_site_fract_x
_atom_site_fract_y
_atom_site_fract_z
Th1 0.666 0.334 0.000
Pm1 0.582 0.918 0.755
Er1 0.000 0.000 0.000
Sm1 0.500 0.500 0.500
Pm2 0.918 0.582 0.755
Sm2 0.833 0.167 0.500
Pm3 0.746 0.746 0.246
Pm4 0.418 0.082 0.245
Th2 0.334 0.666 0.000
Sm3 0.167 0.833 0.500
Pm5 0.254 0.254 0.754
Pm6 0.082 0.418 0.245
```

Output
Fermi-level density of states: 17.9 states/eV/f.u.
Crystal system: monoclinic
Density: 8.04 g/cm3



VASP calculation (PBE) on a relaxed PmSmErTh crystal.

The structure in CIF format:
```
data_PmSmErTh
_symmetry_space_group_name_H-M 'P 1'
_symmetry_Int_Tables_number 1
_symmetry_space_group_name_Hall 'P 1'
_cell_length_a 3.607
_cell_length_b 3.606
_cell_length_c 11.795
_cell_angle_alpha 90.00
_cell_angle_beta 98.82
_cell_angle_gamma 119.98
loop_
_atom_site_label
_atom_site_fract_x
_atom_site_fract_y
_atom_site_fract_z
Sm1 0.475 0.135 0.625
Th1 0.304 0.550 0.870
Pm1 0.967 0.382 0.364
Er1 0.133 0.965 0.111
```

Output
Fermi-level density of states: 5.9 states/eV/f.u.
Crystal system: trigonal
Density: 8.82 g/cm3
Energy above the lowest structure with this stoichiometry: 0 meV/atom



VASP calculation (PBE) on a relaxed Pm2SmErTl2 crystal.

The structure in CIF format:
```
data_Pm2SmErTl2
_symmetry_space_group_name_H-M 'P 1'
_symmetry_Int_Tables_number 1
_symmetry_space_group_name_Hall 'P 1'
_cell_length_a 5.165
_cell_length_b 6.920
_cell_length_c 10.162
_cell_angle_alpha 90.00
_cell_angle_beta 90.00
_cell_angle_gamma 90.00
loop_
_atom_site_label
_atom_site_fract_x
_atom_site_fract_y
_atom_site_fract_z
Pm1 0.000 0.832 0.816
Pm2 0.000 0.332 0.184
Pm3 0.500 0.055 0.045
Er1 0.500 0.178 0.687
Sm1 0.000 0.461 0.544
Tl1 0.000 0.797 0.142
Tl2 0.500 0.722 0.627
Tl3 0.500 0.222 0.373
Er2 0.500 0.678 0.313
Tl4 0.000 0.297 0.858
Sm2 0.000 0.961 0.456
Pm4 0.500 0.555 0.955
```

Output
Fermi-level density of states: 6.4 states/eV/f.u.
Crystal system: orthorhombic
Density: 9.29 g/cm3



| no. | E_form (eV/atom) |
| --- | --- |
| 1 | 0.314 |
| 2 | 0.218 |
| 3 | 0.026 |
| 4 | 0.035 |
| 5 | 0.150 |
| 6 | 0.032 |
| 7 | 0.015 |
| 8 | -0.271 |